! Na4SnPt2Pb PBE-GGA relaxed; values from VASP
! E, eV per atom: -3.369
&SYSTEM
  ibrav = 0, nat = 8, ntyp = 4
/
ATOMIC_SPECIES
Na 22.99 Na.upf
Sn 118.71 Sn.upf
Pt 195.08 Pt.upf
Pb 207.20 Pb.upf
ATOMIC_POSITIONS angstrom
Na 0.0000 0.0000 0.0000
Na 0.0000 2.4300 5.1265
Na 2.4300 0.0000 1.7638
Na 2.4300 2.4300 3.4452
Sn 0.0000 0.0000 3.4452
Pt 0.0000 2.4300 1.8201
Pt 2.4300 0.0000 5.0702
Pb 2.4300 2.4300 0.0000
CELL_PARAMETERS angstrom
4.8601 0.0000 0.0000
0.0000 4.8601 0.0000
0.0000 0.0000 6.8903

! BaLaSn4Pd2 PBE-GGA relaxed; values from VASP
! E, eV per atom: -4.887
&SYSTEM
  ibrav = 0, nat = 16, ntyp = 4
/
ATOMIC_SPECIES
Ba 137.33 Ba.upf
La 138.91 La.upf
Sn 118.71 Sn.upf
Pd 106.42 Pd.upf
ATOMIC_POSITIONS angstrom
Ba 0.0000 0.0000 0.0000
Ba 0.0000 2.3215 9.7406
La 2.3561 0.0000 15.2261
La 2.3561 2.3215 5.4856
Sn 0.0000 0.0000 6.7822
Sn 0.0000 0.0000 12.5273
Sn 0.0000 2.3215 2.7867
Sn 0.0000 2.3215 16.5228
Sn 2.3561 0.0000 2.8517
Sn 2.3561 0.0000 8.4202
Sn 2.3561 2.3215 12.5923
Sn 2.3561 2.3215 18.1608
Pd 0.0000 0.0000 4.1999
Pd 0.0000 2.3215 13.9405
Pd 2.3561 0.0000 11.1340
Pd 2.3561 2.3215 1.3934
CELL_PARAMETERS angstrom
4.7122 0.0000 0.0000
0.0000 4.6429 0.0000
0.0000 0.0000 19.4812

! ZnBi2Os PBE-GGA relaxed; values from VASP
! E, eV per atom: -4.257
&SYSTEM
  ibrav = 0, nat = 16, ntyp = 3
/
ATOMIC_SPECIES
Zn 65.41 Zn.upf
Bi 208.98 Bi.upf
Os 190.23 Os.upf
ATOMIC_POSITIONS angstrom
Zn 0.0000 0.0000 0.0000
Zn 0.0000 3.5095 3.5095
Zn 3.5095 0.0000 3.5095
Zn 3.5095 3.5095 0.0000
Bi 0.0000 0.0000 3.5095
Bi 0.0000 3.5095 0.0000
Bi 1.7547 1.7547 1.7547
Bi 1.7547 5.2642 5.2642
Bi 3.5095 0.0000 0.0000
Bi 3.5095 3.5095 3.5095
Bi 5.2642 1.7547 5.2642
Bi 5.2642 5.2642 1.7547
Os 1.7547 1.7547 5.2642
Os 1.7547 5.2642 1.7547
Os 5.2642 1.7547 1.7547
Os 5.2642 5.2642 5.2642
CELL_PARAMETERS angstrom
7.0189 0.0000 0.0000
0.0000 7.0189 0.0000
0.0000 0.0000 7.0189

! YAgPb2 PBE-GGA relaxed; values from VASP
! E, eV per atom: -4.299
&SYSTEM
  ibrav = 0, nat = 16, ntyp = 3
/
ATOMIC_SPECIES
Y 88.91 Y.upf
Ag 107.87 Ag.upf
Pb 207.20 Pb.upf
ATOMIC_POSITIONS angstrom
Y 0.0000 0.0000 0.0000
Y 0.0000 3.7822 3.7822
Y 3.7822 0.0000 3.7822
Y 3.7822 3.7822 0.0000
Ag 1.8911 1.8911 1.8911
Ag 1.8911 5.6734 5.6734
Ag 5.6734 1.8911 5.6734
Ag 5.6734 5.6734 1.8911
Pb 0.0000 0.0000 3.7822
Pb 0.0000 3.7822 0.0000
Pb 1.8911 1.8911 5.6734
Pb 1.8911 5.6734 1.8911
Pb 3.7822 0.0000 0.0000
Pb 3.7822 3.7822 3.7822
Pb 5.6734 1.8911 1.8911
Pb 5.6734 5.6734 5.6734
CELL_PARAMETERS angstrom
7.5645 0.0000 0.0000
0.0000 7.5645 0.0000
0.0000 0.0000 7.5645

! ScAg3 PBE-GGA relaxed; values from VASP
! ΔH_f (0 K), eV/atom: -0.230
&SYSTEM
  ibrav = 0, nat = 8, ntyp = 2
/
ATOMIC_SPECIES
Sc 44.96 Sc.upf
Ag 107.87 Ag.upf
ATOMIC_POSITIONS angstrom
Sc 1.2179 1.4824 0.7858
Sc 3.6537 4.4472 4.2840
Ag 1.2179 2.9784 3.3616
Ag 1.2179 4.4472 0.8469
Ag 1.2179 5.9159 3.3616
Ag 3.6537 0.0136 1.7083
Ag 3.6537 1.4824 4.2230
Ag 3.6537 2.9511 1.7083
CELL_PARAMETERS angstrom
4.8716 0.0000 0.0000
0.0000 5.9296 0.0000
0.0000 0.0000 5.0699

! KPtAu PBE-GGA relaxed; values from VASP
! Energy above the lowest structure with this stoichiometry, meV per atom: 567
&SYSTEM
  ibrav = 0, nat = 12, ntyp = 3
/
ATOMIC_SPECIES
K 39.10 K.upf
Pt 195.08 Pt.upf
Au 196.97 Au.upf
ATOMIC_POSITIONS angstrom
K 0.0000 0.0000 0.0000
K 0.0000 3.4460 3.4460
K 3.4460 0.0000 3.4460
K 3.4460 3.4460 0.0000
Pt 1.7230 1.7230 1.7230
Pt 1.7230 5.1691 5.1691
Pt 5.1691 1.7230 5.1691
Pt 5.1691 5.1691 1.7230
Au 1.7230 1.7230 5.1691
Au 1.7230 5.1691 1.7230
Au 5.1691 1.7230 1.7230
Au 5.1691 5.1691 5.1691
CELL_PARAMETERS angstrom
6.8921 0.0000 0.0000
0.0000 6.8921 0.0000
0.0000 0.0000 6.8921

! RbTm4Sb3 PBE-GGA relaxed; values from VASP
! E, eV per atom: -4.477
&SYSTEM
  ibrav = 0, nat = 8, ntyp = 3
/
ATOMIC_SPECIES
Rb 85.47 Rb.upf
Tm 168.93 Tm.upf
Sb 121.76 Sb.upf
ATOMIC_POSITIONS angstrom
Rb 0.0000 0.0000 0.0000
Tm 0.0000 2.4982 3.8253
Tm 0.0000 2.4982 7.4454
Tm 2.4982 0.0000 3.8253
Tm 2.4982 0.0000 7.4454
Sb 0.0000 0.0000 5.6353
Sb 2.4982 2.4982 2.1231
Sb 2.4982 2.4982 9.1475
CELL_PARAMETERS angstrom
4.9964 0.0000 0.0000
0.0000 4.9964 0.0000
0.0000 0.0000 11.2707

! SrCuTcOs PBE-GGA relaxed; values from VASP
! Energy above the lowest structure with this stoichiometry, meV per atom: 55
&SYSTEM
  ibrav = 0, nat = 16, ntyp = 4
/
ATOMIC_SPECIES
Sr 87.62 Sr.upf
Cu 63.55 Cu.upf
Tc 98.00 Tc.upf
Os 190.23 Os.upf
ATOMIC_POSITIONS angstrom
Sr 0.0000 0.0000 0.0000
Sr 0.0000 3.2707 3.2707
Sr 3.2707 0.0000 3.2707
Sr 3.2707 3.2707 0.0000
Cu 1.6354 1.6354 1.6354
Cu 1.6354 4.9061 4.9061
Cu 4.9061 1.6354 4.9061
Cu 4.9061 4.9061 1.6354
Tc 0.0000 0.0000 3.2707
Tc 0.0000 3.2707 0.0000
Tc 3.2707 0.0000 0.0000
Tc 3.2707 3.2707 3.2707
Os 1.6354 1.6354 4.9061
Os 1.6354 4.9061 1.6354
Os 4.9061 1.6354 1.6354
Os 4.9061 4.9061 4.9061
CELL_PARAMETERS angstrom
6.5415 0.0000 0.0000
0.0000 6.5415 0.0000
0.0000 0.0000 6.5415

! ZrTcPb PBE-GGA relaxed; values from VASP
! E, eV per atom: -7.251
&SYSTEM
  ibrav = 0, nat = 12, ntyp = 3
/
ATOMIC_SPECIES
Zr 91.22 Zr.upf
Tc 98.00 Tc.upf
Pb 207.20 Pb.upf
ATOMIC_POSITIONS angstrom
Zr 0.0000 0.0000 0.0000
Zr 0.0000 3.2596 3.2596
Zr 3.2596 0.0000 3.2596
Zr 3.2596 3.2596 0.0000
Tc 1.6298 1.6298 4.8894
Tc 1.6298 4.8894 1.6298
Tc 4.8894 1.6298 1.6298
Tc 4.8894 4.8894 4.8894
Pb 0.0000 0.0000 3.2596
Pb 0.0000 3.2596 0.0000
Pb 3.2596 0.0000 0.0000
Pb 3.2596 3.2596 3.2596
CELL_PARAMETERS angstrom
6.5192 0.0000 0.0000
0.0000 6.5192 0.0000
0.0000 0.0000 6.5192

! HoCoSi2Tc PBE-GGA relaxed; values from VASP
! E, eV per atom: -7.293
&SYSTEM
  ibrav = 0, nat = 10, ntyp = 4
/
ATOMIC_SPECIES
Ho 164.93 Ho.upf
Co 58.93 Co.upf
Si 28.09 Si.upf
Tc 98.00 Tc.upf
ATOMIC_POSITIONS angstrom
Ho 0.0000 0.0000 0.0000
Ho 2.0367 2.0367 4.8160
Co 0.0000 2.0367 2.4080
Co 2.0367 0.0000 7.2241
Si 0.0000 0.0000 3.5744
Si 0.0000 0.0000 6.0577
Si 2.0367 2.0367 1.2416
Si 2.0367 2.0367 8.3905
Tc 0.0000 2.0367 7.2241
Tc 2.0367 0.0000 2.4080
CELL_PARAMETERS angstrom
4.0734 0.0000 0.0000
0.0000 4.0734 0.0000
0.0000 0.0000 9.6321

! GdScNO PBE-GGA relaxed; values from VASP
! Energy above the lowest structure with this stoichiometry, meV per atom: 70
&SYSTEM
  ibrav = 0, nat = 16, ntyp = 4
/
ATOMIC_SPECIES
Gd 157.25 Gd.upf
Sc 44.96 Sc.upf
N 14.01 N.upf
O 16.00 O.upf
ATOMIC_POSITIONS angstrom
Gd 1.0595 0.4575 1.2068
Gd 1.0595 2.7321 3.6203
Gd 6.8375 3.6471 1.2068
Gd 6.8375 5.9217 3.6203
Sc 3.0206 3.6772 1.2068
Sc 3.0206 5.8915 3.6203
Sc 4.8764 0.4877 1.2068
Sc 4.8764 2.7019 3.6203
N 1.1310 0.3821 3.6203
N 1.1310 2.8075 1.2068
N 6.7661 3.5717 3.6203
N 6.7661 5.9970 1.2068
O 3.0918 3.8165 3.6203
O 3.0918 5.7523 1.2068
O 4.8053 0.6269 3.6203
O 4.8053 2.5627 1.2068
CELL_PARAMETERS angstrom
7.8970 0.0000 0.0000
0.0000 6.3792 0.0000
0.0000 0.0000 4.8270

! ZrInNO PBE-GGA relaxed; values from VASP
! Energy above the lowest structure with this stoichiometry, meV per atom: 38
&SYSTEM
  ibrav = 0, nat = 8, ntyp = 4
/
ATOMIC_SPECIES
Zr 91.22 Zr.upf
In 114.82 In.upf
N 14.01 N.upf
O 16.00 O.upf
ATOMIC_POSITIONS angstrom
Zr 0.0000 0.9787 0.0000
Zr 0.0000 6.5362 2.7296
In 1.8011 2.6281 2.5668
In 1.8011 4.8867 5.2963
N 0.0000 0.9544 2.0729
N 0.0000 6.5605 4.8024
O 1.8011 1.7071 4.8606
O 1.8011 5.8078 2.1310
CELL_PARAMETERS angstrom
3.6023 0.0000 0.0000
0.0000 7.5149 0.0000
0.0000 0.0000 5.4591

! HoScCu2Ge2 PBE-GGA relaxed; values from VASP
! E, eV per atom: -5.267
&SYSTEM
  ibrav = 0, nat = 6, ntyp = 4
/
ATOMIC_SPECIES
Ho 164.93 Ho.upf
Sc 44.96 Sc.upf
Cu 63.55 Cu.upf
Ge 72.64 Ge.upf
ATOMIC_POSITIONS angstrom
Ho 0.0000 0.0000 0.0000
Sc 0.0000 0.0000 3.4467
Cu 0.0000 2.4322 2.1630
Cu 2.1064 1.2161 5.3358
Ge 0.0000 2.4322 4.8936
Ge 2.1064 1.2161 1.6125
CELL_PARAMETERS angstrom
4.2128 0.0000 0.0000
-2.1064 3.6484 0.0000
0.0000 0.0000 6.9039

! NbReAg PBE-GGA relaxed; values from VASP
! Energy above the lowest structure with this stoichiometry, meV per atom: 0
! ΔH_f (0 K), eV/atom: 1.036
&SYSTEM
  ibrav = 0, nat = 12, ntyp = 3
/
ATOMIC_SPECIES
Nb 92.91 Nb.upf
Re 186.21 Re.upf
Ag 107.87 Ag.upf
ATOMIC_POSITIONS angstrom
Nb 0.0000 0.0000 0.0000
Nb 0.0000 3.1039 3.1039
Nb 3.1039 0.0000 3.1039
Nb 3.1039 3.1039 0.0000
Re 1.5520 1.5520 4.6559
Re 1.5520 4.6559 1.5520
Re 4.6559 1.5520 1.5520
Re 4.6559 4.6559 4.6559
Ag 0.0000 0.0000 3.1039
Ag 0.0000 3.1039 0.0000
Ag 3.1039 0.0000 0.0000
Ag 3.1039 3.1039 3.1039
CELL_PARAMETERS angstrom
6.2079 0.0000 0.0000
0.0000 6.2079 0.0000
0.0000 0.0000 6.2079

! Sc2TcHg PBE-GGA relaxed; values from VASP
! ΔH_f (0 K), eV/atom: -0.257
&SYSTEM
  ibrav = 0, nat = 4, ntyp = 3
/
ATOMIC_SPECIES
Sc 44.96 Sc.upf
Tc 98.00 Tc.upf
Hg 200.59 Hg.upf
ATOMIC_POSITIONS angstrom
Sc 0.0000 2.3041 0.0000
Sc 2.3041 0.0000 0.0000
Tc 0.0000 0.0000 1.7743
Hg 2.3041 2.3041 1.7743
CELL_PARAMETERS angstrom
4.6081 0.0000 0.0000
0.0000 4.6081 0.0000
0.0000 0.0000 3.5486

! NpBW PBE-GGA relaxed; values from VASP
! E, eV per atom: -10.243
&SYSTEM
  ibrav = 0, nat = 12, ntyp = 3
/
ATOMIC_SPECIES
Np 237.00 Np.upf
B 10.81 B.upf
W 183.84 W.upf
ATOMIC_POSITIONS angstrom
Np 0.0000 0.0000 0.0000
Np 0.0000 2.8690 2.8690
Np 2.8690 0.0000 2.8690
Np 2.8690 2.8690 0.0000
B 1.4345 1.4345 1.4345
B 1.4345 4.3034 4.3034
B 4.3034 1.4345 4.3034
B 4.3034 4.3034 1.4345
W 0.0000 0.0000 2.8690
W 0.0000 2.8690 0.0000
W 2.8690 0.0000 0.0000
W 2.8690 2.8690 2.8690
CELL_PARAMETERS angstrom
5.7379 0.0000 0.0000
0.0000 5.7379 0.0000
0.0000 0.0000 5.7379

! Dy2OF2 PBE-GGA relaxed; values from VASP
! Energy above the lowest structure with this stoichiometry, meV per atom: 3
&SYSTEM
  ibrav = 0, nat = 10, ntyp = 3
/
ATOMIC_SPECIES
Dy 162.50 Dy.upf
O 16.00 O.upf
F 19.00 F.upf
ATOMIC_POSITIONS angstrom
Dy 1.7963 0.0000 2.6802
Dy 3.8584 2.0104 0.0000
Dy 3.8584 -2.0104 0.0000
Dy 5.8940 0.0000 2.6698
O 7.7081 0.0000 1.3348
O -0.0178 0.0000 4.0151
F 1.9258 1.9044 1.3288
F 1.9258 -1.9044 1.3288
F 5.7645 1.9044 4.0212
F 5.7645 -1.9044 4.0212
CELL_PARAMETERS angstrom
3.8584 -3.8238 0.0000
3.8584 3.8238 0.0000
-0.0266 0.0000 5.3499

! NbSe4 PBE-GGA relaxed; values from VASP
! E, eV per atom: -5.077
&SYSTEM
  ibrav = 0, nat = 10, ntyp = 2
/
ATOMIC_SPECIES
Nb 92.91 Nb.upf
Se 78.96 Se.upf
ATOMIC_POSITIONS angstrom
Nb 6.4309 1.6338 0.0000
Nb 6.4309 -1.6338 0.0000
Se 1.2709 0.0000 1.4577
Se -1.4093 0.0000 5.3277
Se 4.5967 1.1553 1.8802
Se 1.8795 1.1553 4.8493
Se 4.5967 -1.1553 1.8802
Se 1.8795 -1.1553 4.8493
Se 7.8855 0.0000 1.4019
Se 5.2052 0.0000 5.2719
CELL_PARAMETERS angstrom
6.4309 -3.2457 0.0000
6.4309 3.2457 0.0000
-6.3857 0.0000 6.7296

! PmGdPO PBE-GGA relaxed; values from VASP
! Energy above the lowest structure with this stoichiometry, meV per atom: 97
&SYSTEM
  ibrav = 0, nat = 8, ntyp = 4
/
ATOMIC_SPECIES
Pm 145.00 Pm.upf
Gd 157.25 Gd.upf
P 30.97 P.upf
O 16.00 O.upf
ATOMIC_POSITIONS angstrom
Pm 1.0935 1.0935 0.9546
Pm 3.2804 3.2804 7.8959
Gd 1.0935 3.2804 4.4252
Gd 3.2804 1.0935 4.4252
P 1.0935 1.0935 6.1330
P 3.2804 3.2804 2.7175
O 1.0935 3.2804 0.0000
O 3.2804 1.0935 0.0000
CELL_PARAMETERS angstrom
4.3738 0.0000 0.0000
0.0000 4.3738 0.0000
0.0000 0.0000 8.8505

! NaTcO3 PBE-GGA relaxed; values from VASP
! E, eV per atom: -6.869
&SYSTEM
  ibrav = 0, nat = 20, ntyp = 3
/
ATOMIC_SPECIES
Na 22.99 Na.upf
Tc 98.00 Tc.upf
O 16.00 O.upf
ATOMIC_POSITIONS angstrom
Na 0.1118 1.9059 0.0200
Na 2.5937 5.7178 2.7037
Na 2.8172 1.9059 2.6636
Na 5.2992 5.7178 5.3473
Tc 0.0000 0.0000 2.6837
Tc 0.0000 3.8119 2.6837
Tc 2.7055 0.0000 0.0000
Tc 2.7055 3.8119 0.0000
O 0.0351 5.7178 2.3870
O 1.1867 4.0263 4.1942
O 1.1867 7.4094 4.1942
O 1.5187 0.2144 1.5106
O 1.5187 3.5975 1.5106
O 2.6704 1.9059 5.0706
O 2.7406 5.7178 0.2967
O 3.8922 4.0263 3.8568
O 3.8922 7.4094 3.8568
O 4.2242 0.2144 1.1731
O 4.2242 3.5975 1.1731
O 5.3758 1.9059 2.9804
CELL_PARAMETERS angstrom
5.4109 0.0000 0.0000
0.0000 7.6238 0.0000
0.0000 0.0000 5.3673